[1]
A plane-wave DFT calculation with GGA-PBE was carried out for a geometry-optimized Tb2PmYTm5 structure.

Properties
- symmetry = I4/mcm (140)
- density of states at the Fermi level (states/eV/atom) = 1.2156
- energy of formation (kJ/mol of atoms) = 27.5
- calculated volume (A^3/atom) = 31.77
- VASP energy (hartree per atom) = -0.164
- total magnetic moment (μB per atom) = 0.00

Cell lengths 8.806, 8.806, 9.652 Å; angles 117.14, 117.14, 90.00 degrees
Positions (direct):
Tb 0.114 0.386 0.000
Tb 0.614 0.114 0.000
Tb 0.386 0.886 0.000
Tb 0.886 0.614 0.000
Pm 0.250 0.250 0.500
Pm 0.750 0.750 0.500
Y 0.250 0.750 0.500
Y 0.750 0.250 0.500
Tm 0.926 0.426 0.266
Tm 0.660 0.160 0.734
Tm 0.074 0.574 0.734
Tm 0.160 0.074 0.734
Tm 0.574 0.660 0.734
Tm 0.840 0.926 0.266
Tm 0.426 0.340 0.266
Tm 0.340 0.840 0.266
Tm 0.500 0.500 0.000
Tm 0.000 0.000 0.000


[2]
A plane-wave DFT calculation with GGA-PBE was carried out for a geometry-optimized Tb5PmYTm2 structure.

Properties
- symmetry = Cmc2_1 (36)
- density of states at the Fermi level (states/eV/atom) = 1.5974
- energy of formation (kJ/mol of atoms) = 15.5
- calculated volume (A^3/atom) = 32.84
- VASP energy (hartree per atom) = -0.171
- total magnetic moment (μB per atom) = 0.00

Cell lengths 5.598, 10.388, 10.555 Å; angles 90.00, 90.00, 105.63 degrees
Positions (direct):
Tb 0.392 0.785 0.025
Tb 0.720 0.440 0.808
Tb 0.478 0.956 0.739
Tb 0.300 0.600 0.707
Tb 0.983 0.967 0.524
Tb 0.608 0.215 0.525
Tb 0.280 0.560 0.308
Tb 0.522 0.044 0.239
Tb 0.700 0.400 0.207
Tb 0.017 0.033 0.024
Pm 0.800 0.600 0.512
Pm 0.200 0.400 0.012
Y 0.587 0.175 0.953
Y 0.413 0.825 0.453
Tm 0.886 0.772 0.818
Tm 0.110 0.220 0.737
Tm 0.114 0.228 0.318
Tm 0.890 0.780 0.237


Question: Which value of calculated volume does entry 2 give?
Answer: 32.84 A^3/atom